# 1
LaTlCd2 after structural relaxation. Source: the Alexandria database, functional PBE.

Geometry as extended XYZ:
```
4
Lattice="4.716 0.000 0.000 0.000 4.716 0.000 0.000 0.000 4.986" Properties=species:S:1:pos:R:3 pbc="T T T"
Tl 0.000 2.358 2.493
Cd 0.000 0.000 0.000
Cd 2.358 2.358 0.000
La 2.358 0.000 2.493
```

Results
* energy: -2.569 eV per atom
* calculated formation energy: -27.8 kJ per mole of atoms
* volume: 27.723 A^3/atom
* spin magnetization: 0.0 μB/cell
* calculated density: 8507 kg/m³

=====

# 2
PmHo3In after structural relaxation. Source: the Alexandria database, functional PBE.

Geometry as extended XYZ:
```
10
Lattice="5.957 0.000 0.000 0.000 8.023 0.000 0.000 -4.012 6.948" Properties=species:S:1:pos:R:3 pbc="T T T"
Pm 4.468 4.012 2.317
Pm 1.490 0.000 4.632
Ho 4.468 1.681 5.603
Ho 1.489 4.011 4.258
Ho 1.489 2.330 1.345
Ho 4.468 0.000 2.691
Ho 1.489 5.693 1.345
Ho 4.468 -1.682 5.603
In 0.000 0.000 0.000
In 2.979 0.000 0.000
```

Results
* energy above the lowest structure with this stoichiometry: 0.2534 eV per atom
* energy: -4.168 eV per atom
* calculated formation energy: 7.4 kJ per mole of atoms
* volume: 33.213 A^3/atom
* spin magnetization: 0.0 μB/cell
* calculated density: 7546 kg/m³

=====

# 3
CsTlI2Br6 after structural relaxation. Source: the Alexandria database, functional PBE.

Geometry as extended XYZ:
```
10
Lattice="7.390 -0.696 -0.128 -4.281 8.557 0.811 -3.478 -1.539 7.425" Properties=species:S:1:pos:R:3 pbc="T T T"
Cs 3.575 2.837 3.831
Tl -0.314 6.332 7.961
I 0.315 4.234 1.905
I -0.581 2.114 5.911
Br -2.440 6.066 6.491
Br 2.176 0.278 1.326
Br 2.141 6.114 2.699
Br -1.444 2.301 1.160
Br 1.184 4.045 6.652
Br -2.413 0.240 5.119
```

Results
* energy: -2.207 eV per atom
* volume: 45.394 A^3/atom
* spin magnetization: 0.0 μB/cell
* calculated density: 3916 kg/m³

=====

- Which of these has the lowest energy?
  PmHo3In

=====

- What is the formula in the second record?
  PmHo3In